Computed, not measured: Na3Ac2Te4 after structural relaxation at the PBE level of DFT.

extended XYZ file:
```
9
Lattice="-2.6338 3.7104 -1.2917 -1.4195 -2.7864 3.5487 9.0581 10.6295 11.9153" Properties=species:S:1:pos:R:3 pbc="T T T"
Na 0.0000 0.0000 0.0000
Ac 4.9573 9.9850 9.7720
Te 6.2959 8.9111 12.6155
Te -1.2910 2.6424 1.5569
Ac 0.0475 1.5685 4.4004
Te 4.7977 4.5213 11.7222
Te 0.2071 7.0321 2.4502
Na 3.5353 5.6862 8.9782
Na 1.4695 5.8673 5.1942
```

- space group = C2/m (12)
- ρ (g/cm³) = 4.8
- raw total energy (eV/atom) = -3.948
- D(E_F) (states/eV per cell) = 2.614
- uncorrected formation energy (eV/atom) = -1.199
- total magnetization (μB per atom) = 0.00